BaLi2CoF8 PBE with a Hubbard U relaxed; space-group type = P-1 (2); E = -56.83 eV per formula unit; calculated volume = 13.92 Å³/atom; magnetization = 0.9 μB per formula unit
1.0
-0.738 -4.348 -0.114
2.676 -0.399 4.014
-7.276 0.685 3.172
Ba Li Co F
1 2 1 8
Direct
0.000 0.000 0.500
0.476 0.466 0.824
0.524 0.534 0.176
0.000 0.000 0.000
0.187 0.850 0.158
0.719 0.718 0.993
0.802 0.216 0.184
0.813 0.150 0.842
0.281 0.282 0.007
0.198 0.784 0.816
0.509 0.714 0.397
0.491 0.286 0.603